Record 1
This record from Alexandria via LeMat-Bulk describes an optimized crystal structure of TiCd2Ga. The functional is GGA-PBE.

Computed properties:
**Calculated volume**: 20.69 Å³/atom
**Energy of formation from the pure elements**: 312 meV/atom
**Final energy**: -2.876 eV/atom
**Symmetry**: R-3m

a = 2.9897 Å, b = 2.9897 Å, c = 10.8280 Å
α = 82.06°, β = 82.06°, γ = 60.00°
Positions (direct):
Cd 0.9113 0.9113 0.2661
Cd 0.0887 0.0887 0.7339
Ti 0.0000 0.0000 0.0000
Ga 0.5000 0.5000 0.5000

Record 2
This record from Alexandria via LeMat-Bulk describes an optimized crystal structure of TmTiCdGa. The functional is GGA-PBE.

Computed properties:
**Calculated volume**: 20.22 Å³/atom
**Energy of formation from the pure elements**: -212 meV/atom
**Final energy**: -4.289 eV/atom
**Symmetry**: F-43m

a = 4.8541 Å, b = 4.8541 Å, c = 4.8541 Å
α = 60.00°, β = 60.00°, γ = 60.00°
Positions (direct):
Tm 0.7500 0.7500 0.7500
Ti 0.2500 0.2500 0.2500
Ga 0.0000 0.0000 0.0000
Cd 0.5000 0.5000 0.5000

Record 3
This record from Alexandria via LeMat-Bulk describes an optimized crystal structure of YTi2CdGa. The functional is GGA-PBE.

Computed properties:
**Calculated volume**: 27.17 Å³/atom
**Energy of formation from the pure elements**: 1368 meV/atom
**Final energy**: -3.871 eV/atom
**Symmetry**: P4/mmm

a = 4.9375 Å, b = 5.5725 Å, c = 4.9375 Å
α = 90.00°, β = 90.00°, γ = 90.00°
Positions (direct):
Ti 0.5000 0.0000 0.0000
Ti 0.0000 0.0000 0.5000
Ga 0.5000 0.5000 0.5000
Y 0.0000 0.0000 0.0000
Cd 0.0000 0.5000 0.0000

Record 4
This record from Alexandria via LeMat-Bulk describes an optimized crystal structure of YTiCdGa. The functional is GGA-PBE.

Computed properties:
**Calculated volume**: 20.78 Å³/atom
**Energy of formation from the pure elements**: -218 meV/atom
**Final energy**: -4.793 eV/atom
**Symmetry**: F-43m

a = 4.8987 Å, b = 4.8987 Å, c = 4.8987 Å
α = 60.00°, β = 60.00°, γ = 60.00°
Positions (direct):
Cd 0.5000 0.5000 0.5000
Ti 0.2500 0.2500 0.2500
Y 0.7500 0.7500 0.7500
Ga 0.0000 0.0000 0.0000